AlP2Se: optimized geometry, GGA-PBE.

```
AlP2Se
1.0
-3.673 0.570 -2.566
-3.642 -2.587 0.664
-3.745 1.787 1.783
Al Se P
1 1 2
Cartesian
-5.530 -0.115 -0.059 Al
-2.765 -0.057 -0.030 Se
0.000 0.000 0.000 P
-8.296 -0.172 -0.089 P
```

Results
As for the total energy: -4.065 eV/atom. Its symmetry is No. 216. Its spin magnetization is 0.0 μB/f.u. For the uncorrected formation energy, the calculation gives 0.447 eV/atom.